! RbPd3Pt (GGA-PBEsol, optimized geometry); values from VASP
! calculated total energy: -3.177 eV per atom
! N(E_F): 4.61 states/eV per cell
! DFT formation energy: 1995.9 meV/atom
&SYSTEM
  ibrav = 0, nat = 5, ntyp = 3
/
ATOMIC_SPECIES
Rb 85.47 Rb.upf
Pd 106.42 Pd.upf
Pt 195.08 Pt.upf
CELL_PARAMETERS angstrom
4.7899 0.0000 0.0000
0.0000 4.7899 0.0000
0.0000 0.0000 4.7899
ATOMIC_POSITIONS angstrom
Rb 0.0000 0.0000 0.0000
Pd 0.0000 2.3950 0.0000
Pd 0.0000 0.0000 2.3950
Pd 2.3950 0.0000 0.0000
Pt 2.3950 2.3950 2.3950